Na3Ni3IO8 | GGA+U | relaxed

## Properties
Total magnetic moment (μB/f.u.): 6.000
Calculated total energy (eV/atom): -4.62

```
data_Na3Ni3IO8
_cell_length_a 6.1803
_cell_length_b 6.1803
_cell_length_c 16.4523
_cell_angle_alpha 90.00
_cell_angle_beta 90.00
_cell_angle_gamma 120.00
_symmetry_space_group_name_H-M 'R -3 m'
_symmetry_Int_Tables_number 166
_symmetry_space_group_name_Hall '-R 3 2"'
loop_
_atom_site_label
_atom_site_type_symbol
_atom_site_fract_x
_atom_site_fract_y
_atom_site_fract_z
Na1 Na 0.0000 0.5000 0.0000
Ni1 Ni 0.0000 0.5000 0.5000
I1 I 0.0000 0.0000 0.5000
O1 O 0.0000 0.0000 0.2288
O2 O 0.0377 0.5189 0.2324
```